LiNiPdO4 | PBE+U | relaxed

Cell lengths 5.7291, 6.0042, 6.0042 Å; angles 60.59, 61.50, 61.50 degrees
Closest atoms and distances in Å follow each position.
Fractional positions:
O 0.7600 0.7551 0.2551  1 Li 1.97, 2 Pd 2.03, 1 Ni 2.12
O 0.7672 0.1960 0.2695  2 Ni 1.93, 1 Pd 2.02, 1 Li 2.06
O 0.2328 0.2305 0.3040  2 Ni 1.93, 1 Pd 2.02, 1 Li 2.06
O 0.2328 0.8040 0.7305  2 Ni 1.93, 1 Pd 2.02, 1 Li 2.06
O 0.7672 0.7695 0.6960  2 Ni 1.93, 1 Pd 2.02, 1 Li 2.06
O 0.7703 0.2449 0.7449  1 Li 1.97, 2 Pd 2.03, 1 Ni 2.12
O 0.2297 0.7551 0.2551  1 Li 1.97, 2 Pd 2.03, 1 Ni 2.12
O 0.2400 0.2449 0.7449  1 Li 1.97, 2 Pd 2.03, 1 Ni 2.12
Li 0.6397 0.6103 0.1103  4 O 1.97-2.06
Li 0.3603 0.3897 0.8897  4 O 1.97-2.06
Pd 0.0000 0.0000 0.0000  6 O 2.02-2.03
Pd 0.0000 0.5000 0.5000  6 O 2.02-2.03
Ni 0.5000 0.0000 0.5000  6 O 1.93-2.12
Ni 0.0000 0.0000 0.5000  6 O 1.93-2.12

Summary:
**E_tot**: -5.157 eV per atom
**ρ**: 5.227 g cm⁻³